Entry from the Alexandria database: an optimized crystal structure of Li2NpAgBr8 (PBE).

Cell lengths 8.8682, 8.8682, 9.2988 Å; angles 90.00, 90.00, 90.00 degrees
Space group I-4m2 (No. 119)
One atom of each set of equivalent atoms:
Li  0.0000  0.0000  0.0000 (multiplicity 2)
Li  0.0000  0.5000  0.2500 (multiplicity 2)
Np  0.0000  0.5000  0.7500 (multiplicity 2)
Ag  0.0000  0.0000  0.5000 (multiplicity 2)
Br  0.0000  0.1987  0.8152 (multiplicity 8)
Br  0.0000  0.3121  0.4667 (multiplicity 8)

Results
Formation energy without anion corrections in kcal/mol of atoms: -22.6
Volume in Å³/atom: 30.5
Raw total energy in eV/atom: -3.730